[1]
DFT (GGA-PBE) results for an optimized crystal structure of MgTcP2.

M_tot (μB/atom): 0.00
Energy relative to the elements (meV/atom): 394
Space group: F-43m, No. 216
Crystal system: cubic

Lattice parameters (Å, degrees): 4.3433 4.3433 4.3433 60.00 60.00 60.00
With the nearest neighbours (Å) after each atom.
Fractional coordinates of all 4 atoms:
Mg 0.5000 0.5000 0.5000  4 Tc 2.66, 4 P 2.66
P 0.0000 0.0000 0.0000  4 P 2.66, 4 Tc 2.66
P 0.2500 0.2500 0.2500  4 Mg 2.66, 4 P 2.66
Tc 0.7500 0.7500 0.7500  4 Mg 2.66, 4 P 2.66



[2]
DFT (GGA-PBE) results for an optimized crystal structure of PaFeNi2.

M_tot (μB/atom): 0.25
Energy relative to the elements (meV/atom): -44
Space group: Pmma, No. 51
Crystal system: orthorhombic

Lattice parameters (Å, degrees): 4.1010 3.1133 9.2589 90.00 90.00 90.00
With the nearest neighbours (Å) after each atom.
Fractional coordinates of all 8 atoms:
Pa 0.0000 0.2562 0.2500  2 Fe 2.44
Pa 0.0000 0.7438 0.7500  2 Fe 2.44
Fe 0.0000 0.5000 0.5000  2 Pa 2.44, 4 Ni 2.45
Fe 0.0000 0.5000 0.0000  2 Pa 2.44, 4 Ni 2.45
Ni 0.5000 0.2142 0.6087  3 Ni 2.41-2.69, 2 Fe 2.45
Ni 0.5000 0.7858 0.3913  3 Ni 2.41-2.69, 2 Fe 2.45
Ni 0.5000 0.2142 0.8913  3 Ni 2.41-2.69, 2 Fe 2.45
Ni 0.5000 0.7858 0.1087  3 Ni 2.41-2.69, 2 Fe 2.45



[3]
DFT (GGA-PBE) results for an optimized crystal structure of Pu6USe8.

M_tot (μB/atom): 2.49
Space group: Fm-3m, No. 225
Crystal system: cubic
Formation energy from raw total energies (eV/atom): -1.47

Lattice parameters (Å, degrees): 8.2901 8.2901 8.2901 60.00 60.00 60.00
With the nearest neighbours (Å) after each atom.
Fractional coordinates of all 15 atoms:
Pu 0.0000 0.5000 0.5000  6 Se 2.93
Pu 0.5000 0.0000 0.0000  6 Se 2.93
Pu 0.5000 0.5000 0.0000  6 Se 2.93
Pu 0.0000 0.0000 0.5000  6 Se 2.93
Pu 0.0000 0.5000 0.0000  6 Se 2.93
Pu 0.5000 0.0000 0.5000  6 Se 2.93
U 0.0000 0.0000 0.0000  6 Se 2.90
Se 0.7500 0.7500 0.7500  6 Pu 2.93
Se 0.2500 0.2500 0.2500  6 Pu 2.93
Se 0.7525 0.2475 0.2475  1 U 2.90, 4 Pu 2.93
Se 0.2475 0.7525 0.7525  1 U 2.90, 4 Pu 2.93
Se 0.2475 0.2475 0.7525  1 U 2.90, 4 Pu 2.93
Se 0.7525 0.7525 0.2475  1 U 2.90, 4 Pu 2.93
Se 0.7525 0.2475 0.7525  1 U 2.90, 4 Pu 2.93
Se 0.2475 0.7525 0.2475  1 U 2.90, 4 Pu 2.93



[4]
DFT (GGA-PBE) results for an optimized crystal structure of CdTcAs.

M_tot (μB/atom): 0.00
ΔE to the lowest computed polymorph (eV/atom): 0.024
Energy relative to the elements (meV/atom): -11
Space group: P3m1, No. 156
Crystal system: trigonal

Lattice parameters (Å, degrees): 3.0988 3.0988 6.7628 90.00 90.00 120.00
With the nearest neighbours (Å) after each atom.
Fractional coordinates of all 3 atoms:
As 0.6667 0.3333 0.4461  3 Tc 2.45
Tc 0.3333 0.6667 0.6931  3 As 2.45
Cd 0.6667 0.3333 0.0355  1 As 2.78, 3 Tc 2.93, 6 Cd 3.10



[5]
DFT (GGA-PBE) results for an optimized crystal structure of Tl2PtCl6.

M_tot (μB/atom): 0.00
ΔE to the lowest computed polymorph (eV/atom): 0.066
Space group: P4_2/mnm, No. 136
Crystal system: tetragonal
Formation energy from raw total energies (eV/atom): -0.71

Lattice parameters (Å, degrees): 6.8818 6.8818 12.7017 90.00 90.00 90.00
With the nearest neighbours (Å) after each atom.
Fractional coordinates of all 18 atoms:
Tl 0.0000 0.0000 0.3417  6 Cl 3.13-3.23
Tl 0.5000 0.5000 0.8417  6 Cl 3.13-3.23
Tl 0.5000 0.5000 0.1583  6 Cl 3.13-3.23
Tl 0.0000 0.0000 0.6583  6 Cl 3.13-3.23
Pt 0.0000 0.0000 0.0000  6 Cl 2.36
Pt 0.5000 0.5000 0.5000  6 Cl 2.36
Cl 0.3306 0.3306 0.3675  1 Pt 2.36
Cl 0.6694 0.6694 0.3675  1 Pt 2.36
Cl 0.1694 0.8306 0.8675  1 Pt 2.36
Cl 0.8306 0.1694 0.8675  1 Pt 2.36
Cl 0.1694 0.8306 0.1325  1 Pt 2.36
Cl 0.8306 0.1694 0.1325  1 Pt 2.36
Cl 0.3306 0.3306 0.6325  1 Pt 2.36
Cl 0.6694 0.6694 0.6325  1 Pt 2.36
Cl 0.2421 0.2421 0.0000  1 Pt 2.36
Cl 0.7579 0.7579 0.0000  1 Pt 2.36
Cl 0.2579 0.7421 0.5000  1 Pt 2.36
Cl 0.7421 0.2579 0.5000  1 Pt 2.36



[6]
DFT (GGA-PBE) results for an optimized crystal structure of Li2TiAu4.

M_tot (μB/atom): 0.00
Energy relative to the elements (meV/atom): -335
Space group: I4/mmm, No. 139
Crystal system: tetragonal

Lattice parameters (Å, degrees): 4.3389 4.3389 7.2327 107.45 107.45 90.00
With the nearest neighbours (Å) after each atom.
Fractional coordinates of all 7 atoms:
Li 0.7418 0.7418 0.4836  8 Au 2.68-2.81
Li 0.2582 0.2582 0.5164  8 Au 2.68-2.81
Ti 0.0000 0.0000 0.0000  8 Au 2.70
Au 0.3778 0.8778 0.7555  4 Li 2.68-2.81, 2 Ti 2.70
Au 0.8778 0.3778 0.7555  4 Li 2.68-2.81, 2 Ti 2.70
Au 0.6222 0.1222 0.2445  4 Li 2.68-2.81, 2 Ti 2.70
Au 0.1222 0.6222 0.2445  4 Li 2.68-2.81, 2 Ti 2.70